1.
DFT (PBE-GGA) results for Mg2PbCl after structural relaxation. Values from VASP.

```
&SYSTEM
  ibrav = 0, nat = 4, ntyp = 3
/
ATOMIC_SPECIES
Mg 24.30 Mg.upf
Pb 207.20 Pb.upf
Cl 35.45 Cl.upf
ATOMIC_POSITIONS crystal
Mg 0.0000 0.0000 0.0000
Mg 0.5000 0.0000 0.5000
Pb 0.0000 0.5000 0.5000
Cl 0.5000 0.5000 0.0000
CELL_PARAMETERS angstrom
3.3006 0.0000 0.0000
0.0000 5.4608 0.0000
0.0000 0.0000 5.6497
```

## Properties
Space group   Pmmm
Crystal system   orthorhombic
Energy relative to the elements, uncorrected   -5.49 kcal/mol of atoms

2.
DFT (PBE-GGA) results for CoSiTc2 after structural relaxation. Values from VASP.

```
&SYSTEM
  ibrav = 0, nat = 8, ntyp = 3
/
ATOMIC_SPECIES
Co 58.93 Co.upf
Si 28.09 Si.upf
Tc 98.00 Tc.upf
ATOMIC_POSITIONS crystal
Co 0.0000 0.0000 0.0000
Co 0.5000 0.5000 0.5000
Si 0.0000 0.0000 0.5000
Si 0.5000 0.5000 0.0000
Tc 0.0000 0.5000 0.2500
Tc 0.0000 0.5000 0.7500
Tc 0.5000 0.0000 0.2500
Tc 0.5000 0.0000 0.7500
CELL_PARAMETERS angstrom
3.7333 0.0000 0.0000
0.0000 3.7333 0.0000
0.0000 0.0000 7.4133
```

## Properties
Space group   I4/mmm
Crystal system   tetragonal
Energy relative to the elements, uncorrected   -2.78 kcal/mol of atoms

3.
DFT (PBE-GGA) results for NpSn2Pd4 after structural relaxation. Values from VASP.

```
&SYSTEM
  ibrav = 0, nat = 7, ntyp = 3
/
ATOMIC_SPECIES
Np 237.00 Np.upf
Sn 118.71 Sn.upf
Pd 106.42 Pd.upf
ATOMIC_POSITIONS crystal
Np 0.0000 0.0000 0.0000
Sn 0.2405 0.2405 0.2405
Sn 0.7595 0.7595 0.7595
Pd 0.1295 0.1295 0.1295
Pd 0.3993 0.3993 0.3993
Pd 0.6007 0.6007 0.6007
Pd 0.8705 0.8705 0.8705
CELL_PARAMETERS angstrom
2.2646 1.3075 8.0886
-2.2646 1.3075 8.0886
0.0000 -2.6149 8.0886
```

## Properties
Formation enthalpy at 0 K   -326 meV/atom
Space group   R-3m
Crystal system   trigonal

4.
DFT (PBE-GGA) results for Tm8Tc2Te after structural relaxation. Values from VASP.

```
&SYSTEM
  ibrav = 0, nat = 11, ntyp = 3
/
ATOMIC_SPECIES
Tm 168.93 Tm.upf
Tc 98.00 Tc.upf
Te 127.60 Te.upf
ATOMIC_POSITIONS crystal
Tm 0.0389 0.0389 0.2610
Tm 0.1737 0.5648 0.1263
Tm 0.2763 0.2763 0.6122
Tm 0.4352 0.8263 0.8737
Tm 0.5648 0.1737 0.1263
Tm 0.7237 0.7237 0.3878
Tm 0.8263 0.4352 0.8737
Tm 0.9611 0.9611 0.7390
Tc 0.1856 0.1856 0.9847
Tc 0.8144 0.8144 0.0153
Te 0.5000 0.5000 0.5000
CELL_PARAMETERS angstrom
6.2556 -4.2965 0.0000
6.2556 4.2965 0.0000
-1.0422 0.0000 6.0827
```

## Properties
Space group   C2/m
Crystal system   monoclinic
Energy relative to the elements, uncorrected   -2.06 kcal/mol of atoms

5.
DFT (PBE-GGA) results for TbCd11Pd after structural relaxation. Values from VASP.

```
&SYSTEM
  ibrav = 0, nat = 13, ntyp = 3
/
ATOMIC_SPECIES
Tb 158.93 Tb.upf
Cd 112.41 Cd.upf
Pd 106.42 Pd.upf
ATOMIC_POSITIONS crystal
Tb 0.0000 0.0000 0.0000
Cd 0.0000 0.5000 0.0000
Cd 0.0050 0.6643 0.6448
Cd 0.2806 0.4882 0.7862
Cd 0.3357 0.9950 0.3552
Cd 0.4882 0.2806 0.7862
Cd 0.5000 0.0000 0.0000
Cd 0.5000 0.5000 0.5000
Cd 0.5118 0.7194 0.2138
Cd 0.6643 0.0050 0.6448
Cd 0.7194 0.5118 0.2138
Cd 0.9950 0.3357 0.3552
Pd 0.0000 0.0000 0.5000
CELL_PARAMETERS angstrom
2.8822 -7.0690 0.0000
2.8822 7.0690 0.0000
-2.8727 0.0000 7.0176
```

## Properties
Formation enthalpy at 0 K   -151 meV/atom
Space group   C2/m
Crystal system   monoclinic

6.
DFT (PBE-GGA) results for Na2Sn2Ge after structural relaxation. Values from VASP.

```
&SYSTEM
  ibrav = 0, nat = 10, ntyp = 3
/
ATOMIC_SPECIES
Na 22.99 Na.upf
Sn 118.71 Sn.upf
Ge 72.64 Ge.upf
ATOMIC_POSITIONS crystal
Na 0.1792 0.3208 0.0000
Na 0.3208 0.8208 0.0000
Na 0.6792 0.1792 0.0000
Na 0.8208 0.6792 0.0000
Sn 0.1221 0.6221 0.5000
Sn 0.3779 0.1221 0.5000
Sn 0.6221 0.8779 0.5000
Sn 0.8779 0.3779 0.5000
Ge 0.0000 0.0000 0.5000
Ge 0.5000 0.5000 0.5000
CELL_PARAMETERS angstrom
8.5970 0.0000 0.0000
0.0000 8.5970 0.0000
0.0000 0.0000 3.5044
```

## Properties
Formation enthalpy at 0 K   80 meV/atom
Space group   P4/mbm
Crystal system   tetragonal

7.
DFT (PBE-GGA) results for GaAgPt4 after structural relaxation. Values from VASP.

```
&SYSTEM
  ibrav = 0, nat = 12, ntyp = 3
/
ATOMIC_SPECIES
Ga 69.72 Ga.upf
Ag 107.87 Ag.upf
Pt 195.08 Pt.upf
ATOMIC_POSITIONS crystal
Ga 0.0000 0.0000 0.0000
Ga 0.5000 0.0000 0.5000
Ag 0.3374 0.5874 0.7500
Ag 0.6626 0.4126 0.2500
Pt 0.0531 0.8961 0.1570
Pt 0.1762 0.5937 0.5826
Pt 0.2391 0.8961 0.3430
Pt 0.4889 0.4063 0.0826
Pt 0.5111 0.5937 0.9174
Pt 0.7609 0.1039 0.6570
Pt 0.8238 0.4063 0.4174
Pt 0.9469 0.1039 0.8430
CELL_PARAMETERS angstrom
-2.2944 8.2130 2.5899
2.2944 -8.2130 2.5899
2.2944 8.2130 -2.5899
```

## Properties
Formation enthalpy at 0 K   -203 meV/atom
Space group   Imma
Crystal system   orthorhombic

8.
DFT (PBE-GGA) results for K2SrTa after structural relaxation. Values from VASP.

```
&SYSTEM
  ibrav = 0, nat = 8, ntyp = 3
/
ATOMIC_SPECIES
K 39.10 K.upf
Sr 87.62 Sr.upf
Ta 180.95 Ta.upf
ATOMIC_POSITIONS crystal
K 0.0000 0.0000 0.0000
K 0.0000 0.5000 0.2099
K 0.5000 0.0000 0.7099
K 0.5000 0.5000 0.5000
Sr 0.0000 0.5000 0.7985
Sr 0.5000 0.0000 0.2985
Ta 0.0000 0.0000 0.4893
Ta 0.5000 0.5000 0.9893
CELL_PARAMETERS angstrom
3.5262 0.0000 0.0000
0.0000 7.1163 0.0000
0.0000 0.0000 14.4168
```

## Properties
Formation enthalpy at 0 K   1230 meV/atom
Space group   Imm2
Crystal system   orthorhombic

9.
DFT (PBE-GGA) results for Pr2ZnHRu after structural relaxation. Values from VASP.

```
&SYSTEM
  ibrav = 0, nat = 10, ntyp = 4
/
ATOMIC_SPECIES
Pr 140.91 Pr.upf
Zn 65.41 Zn.upf
H 1.01 H.upf
Ru 101.07 Ru.upf
ATOMIC_POSITIONS crystal
Pr 0.2197 0.2500 0.4564
Pr 0.2345 0.2500 0.9239
Pr 0.7655 0.7500 0.0761
Pr 0.7803 0.7500 0.5436
Zn 0.3412 0.7500 0.2237
Zn 0.6588 0.2500 0.7763
H 0.1564 0.7500 0.7751
H 0.8436 0.2500 0.2249
Ru 0.4041 0.7500 0.7268
Ru 0.5959 0.2500 0.2732
CELL_PARAMETERS angstrom
6.2812 0.0000 0.0000
0.0000 4.3628 0.0000
-2.8506 0.0000 7.6122
```

## Properties
Space group   P2_1/m
Uncorrected energy   -50.22 eV per cell
Crystal system   monoclinic

10.
DFT (PBE-GGA) results for AgPbSe2Br after structural relaxation. Values from VASP.

```
&SYSTEM
  ibrav = 0, nat = 5, ntyp = 4
/
ATOMIC_SPECIES
Ag 107.87 Ag.upf
Pb 207.20 Pb.upf
Se 78.96 Se.upf
Br 79.90 Br.upf
ATOMIC_POSITIONS crystal
Ag 0.0000 0.0000 0.0000
Pb 0.5000 0.5000 0.5000
Se 0.0000 0.5000 0.0000
Se 0.5000 0.0000 0.0000
Br 0.0000 0.0000 0.5000
CELL_PARAMETERS angstrom
5.1437 0.0000 0.0000
0.0000 5.1437 0.0000
0.0000 0.0000 5.2329
```

## Properties
Space group   P4/mmm
Crystal system   tetragonal
Energy relative to the elements, uncorrected   1.05 kcal/mol of atoms

11.
DFT (PBE-GGA) results for TbPuInIr after structural relaxation. Values from VASP.

```
&SYSTEM
  ibrav = 0, nat = 16, ntyp = 4
/
ATOMIC_SPECIES
Tb 158.93 Tb.upf
Pu 244.00 Pu.upf
In 114.82 In.upf
Ir 192.22 Ir.upf
ATOMIC_POSITIONS crystal
Tb 0.0000 0.0000 0.0000
Tb 0.0000 0.5000 0.5000
Tb 0.5000 0.0000 0.5000
Tb 0.5000 0.5000 0.0000
Pu 0.0000 0.0000 0.5000
Pu 0.0000 0.5000 0.0000
Pu 0.5000 0.0000 0.0000
Pu 0.5000 0.5000 0.5000
In 0.2500 0.2500 0.7500
In 0.2500 0.7500 0.2500
In 0.7500 0.2500 0.2500
In 0.7500 0.7500 0.7500
Ir 0.2500 0.2500 0.2500
Ir 0.2500 0.7500 0.7500
Ir 0.7500 0.2500 0.7500
Ir 0.7500 0.7500 0.2500
CELL_PARAMETERS angstrom
7.1986 0.0000 0.0000
0.0000 7.1986 0.0000
0.0000 0.0000 7.1986
```

## Properties
Formation enthalpy at 0 K   -316 meV/atom
Space group   F-43m
Crystal system   cubic

12.
DFT (PBE-GGA) results for Hf3FeH after structural relaxation. Values from VASP.

```
&SYSTEM
  ibrav = 0, nat = 5, ntyp = 3
/
ATOMIC_SPECIES
Hf 178.49 Hf.upf
Fe 55.84 Fe.upf
H 1.01 H.upf
ATOMIC_POSITIONS crystal
Hf 0.0000 0.0000 0.5000
Hf 0.0000 0.5000 0.0000
Hf 0.5000 0.0000 0.0000
Fe 0.0000 0.0000 0.0000
H 0.5000 0.5000 0.5000
CELL_PARAMETERS angstrom
4.7797 0.0000 0.0000
0.0000 4.7797 0.0000
0.0000 0.0000 4.7797
```

## Properties
Space group   Pm-3m
Uncorrected energy   -37.35 eV per cell
Crystal system   cubic

13.
DFT (PBE-GGA) results for MgTl2InHg6 after structural relaxation. Values from VASP.

```
&SYSTEM
  ibrav = 0, nat = 10, ntyp = 4
/
ATOMIC_SPECIES
Mg 24.30 Mg.upf
Tl 204.38 Tl.upf
In 114.82 In.upf
Hg 200.59 Hg.upf
ATOMIC_POSITIONS crystal
Mg 0.0000 0.0000 0.0000
Tl 0.2501 0.7501 0.5000
Tl 0.7499 0.2499 0.5000
In 0.5000 0.5000 0.0000
Hg 0.2443 0.2443 0.0000
Hg 0.2446 0.2442 0.4887
Hg 0.2446 0.7558 0.0004
Hg 0.7554 0.2442 0.9996
Hg 0.7554 0.7558 0.5113
Hg 0.7557 0.7557 0.0000
CELL_PARAMETERS angstrom
-3.9112 3.9212 5.5376
3.9112 -3.9212 5.5376
3.9112 3.9212 -5.5376
```

## Properties
Formation enthalpy at 0 K   109 meV/atom
Space group   Immm
Crystal system   orthorhombic